# 1
The following is a GGA-PBE calculation of Tb2ErTl2 after structural relaxation, from the Alexandria database.

Lattice parameters (Å, degrees): 3.758 5.368 14.157 90.00 97.66 90.00
Fractional coordinates of all 10 atoms:
Tb1 0.049 0.250 0.098
Tb2 0.238 0.250 0.476
Tb3 0.762 0.750 0.524
Tb4 0.951 0.750 0.902
Er1 0.149 0.750 0.300
Er2 0.851 0.250 0.700
Tl1 0.356 0.750 0.711
Tl2 0.449 0.250 0.899
Tl3 0.551 0.750 0.101
Tl4 0.644 0.250 0.289

total DFT energy (no corrections)	-39.87	eV for the cell shown
calculated formation energy	-0.28	eV per atom

=====

# 2
The following is a GGA-PBE calculation of Pm3InGe2Pt9 after structural relaxation, from the Alexandria database.

Lattice parameters (Å, degrees): 5.714 5.714 11.651 90.00 90.00 120.00
Fractional coordinates of all 15 atoms:
Pm1 0.000 0.000 0.000
Pm2 0.333 0.667 0.593
Pm3 0.667 0.333 0.407
In1 0.000 0.000 0.500
Ge1 0.333 0.667 0.161
Ge2 0.667 0.333 0.839
Pt1 0.000 0.500 0.000
Pt2 0.165 0.330 0.317
Pt3 0.165 0.835 0.317
Pt4 0.330 0.165 0.683
Pt5 0.500 0.000 0.000
Pt6 0.500 0.500 0.000
Pt7 0.670 0.835 0.317
Pt8 0.835 0.165 0.683
Pt9 0.835 0.670 0.683

total DFT energy (no corrections)	-90.54	eV for the cell shown
calculated formation energy	-0.66	eV per atom

=====

- What is the formula in the first record?
  Tb2ErTl2